TbY2Te3: optimized geometry, PBE.

a b c (Å): 4.357 4.357 10.725
angles (deg): 90.00 90.00 120.00
Element x y z (fractional)
Tb1 0.000 0.000 0.000
Y1 0.667 0.333 0.333
Te1 0.333 0.667 0.167
Y2 0.333 0.667 0.667
Te2 0.667 0.333 0.833
Te3 0.000 0.000 0.500

Values from the calculation:
The total energy is -34.84 eV per cell. The calculation puts the mass density at 6776 kg/m3. The calculation puts the magnetization at 0.01 μB per cell. Its space group is No. 164.

---

TbY2Te: optimized geometry, PBE.

a b c (Å): 6.410 6.410 9.787
angles (deg): 90.00 90.00 143.88
Element x y z (fractional)
Tb1 0.442 0.558 0.250
Tb2 0.558 0.442 0.750
Y1 0.135 0.865 0.038
Y2 0.865 0.135 0.538
Te1 0.264 0.736 0.750
Y3 0.865 0.135 0.962
Te2 0.736 0.264 0.250
Y4 0.135 0.865 0.462

Values from the calculation:
The total energy is -46.81 eV per cell. The calculation puts the mass density at 6506 kg/m3. The calculation puts the magnetization at 0.00 μB per cell. Its space group is No. 63.

---

TbYTe: optimized geometry, PBE.

a b c (Å): 5.070 5.070 5.070
angles (deg): 60.00 60.00 60.00
Element x y z (fractional)
Te1 0.000 0.000 0.000
Tb1 0.250 0.250 0.250
Y1 0.750 0.750 0.750

Values from the calculation:
The total energy is -15.81 eV per cell. The calculation puts the mass density at 6766 kg/m3. The calculation puts the magnetization at 0.88 μB per cell. Its space group is No. 216.

---

TbYZnTe3: optimized geometry, PBE.

a b c (Å): 7.860 7.860 10.530
angles (deg): 90.00 90.00 149.45
Element x y z (fractional)
Zn1 0.521 0.479 0.250
Te1 0.349 0.651 0.948
Te2 0.883 0.117 0.250
Te3 0.117 0.883 0.750
Zn2 0.479 0.521 0.750
Y1 0.000 0.000 0.500
Tb1 0.775 0.225 0.750
Y2 0.000 0.000 0.000
Te4 0.651 0.349 0.052
Te5 0.349 0.651 0.552
Tb2 0.225 0.775 0.250
Te6 0.651 0.349 0.448

Values from the calculation:
The total energy is -55.14 eV per cell. The calculation puts the mass density at 6991 kg/m3. The calculation puts the magnetization at 0.03 μB per cell. Its space group is No. 63.

---

TbYZnTe3: optimized geometry, PBE.

a b c (Å): 7.882 7.882 10.521
angles (deg): 90.00 90.00 149.58
Element x y z (fractional)
Tb1 0.500 0.500 0.000
Zn1 0.979 0.021 0.250
Y1 0.275 0.725 0.250
Te1 0.617 0.383 0.250
Zn2 0.021 0.979 0.750
Tb2 0.500 0.500 0.500
Te2 0.849 0.151 0.053
Y2 0.725 0.275 0.750
Te3 0.151 0.849 0.947
Te4 0.151 0.849 0.553
Te5 0.383 0.617 0.750
Te6 0.849 0.151 0.447

Values from the calculation:
The total energy is -55.13 eV per cell. The calculation puts the mass density at 6985 kg/m3. The calculation puts the magnetization at 0.03 μB per cell. Its space group is No. 63.

---

TbZrTe: optimized geometry, PBE.

a b c (Å): 4.913 4.913 4.913
angles (deg): 60.00 60.00 60.00
Element x y z (fractional)
Tb1 0.250 0.250 0.250
Zr1 0.750 0.750 0.750
Te1 0.000 0.000 0.000

Values from the calculation:
The calculation puts the excess energy over the best structure of this formula in the dataset at 0 meV/atom. The calculation puts the mass density at 7482 kg/m3. The calculation puts the magnetization at 0.01 μB per cell. Its space group is No. 216.

---

TbTmTh: optimized geometry, PBE.

a b c (Å): 5.393 5.393 5.393
angles (deg): 60.00 60.00 60.00
Element x y z (fractional)
Tb1 0.250 0.250 0.250
Th1 0.750 0.750 0.750
Tm1 0.000 0.000 0.000

Values from the calculation:
The calculation puts the excess energy over the best structure of this formula in the dataset at 0 meV/atom. The calculation puts the formation energy at 0.789 eV/atom. The calculation puts the mass density at 8382 kg/m3. The calculation puts the magnetization at 0.00 μB per cell. Its space group is No. 216.

---

TbThU: optimized geometry, PBE.

a b c (Å): 5.222 5.222 5.222
angles (deg): 60.00 60.00 60.00
Element x y z (fractional)
Tb1 0.250 0.250 0.250
U1 0.000 0.000 0.000
Th1 0.750 0.750 0.750

Values from the calculation:
The calculation puts the formation energy at 1.164 eV/atom. The calculation puts the mass density at 10375 kg/m3. The calculation puts the magnetization at 4.99 μB per cell. Its space group is No. 216.

---

TbThW: optimized geometry, PBE.

a b c (Å): 4.923 4.923 4.923
angles (deg): 60.00 60.00 60.00
Element x y z (fractional)
Th1 0.250 0.250 0.250
Tb1 0.750 0.750 0.750
W1 0.000 0.000 0.000

Values from the calculation:
The calculation puts the excess energy over the best structure of this formula in the dataset at 0 meV/atom. The calculation puts the formation energy at 0.552 eV/atom. The calculation puts the mass density at 11311 kg/m3. The calculation puts the magnetization at 0.01 μB per cell. Its space group is No. 216.

---

TbYTh: optimized geometry, PBE.

a b c (Å): 5.435 5.435 5.435
angles (deg): 60.00 60.00 60.00
Element x y z (fractional)
Tb1 0.250 0.250 0.250
Y1 0.000 0.000 0.000
Th1 0.750 0.750 0.750

Values from the calculation:
The calculation puts the formation energy at 0.843 eV/atom. The calculation puts the mass density at 7018 kg/m3. The calculation puts the magnetization at 0.02 μB per cell. Its space group is No. 216.

---

TbTl: optimized geometry, PBE.

a b c (Å): 3.783 3.783 3.783
angles (deg): 90.00 90.00 90.00
Element x y z (fractional)
Tb1 0.000 0.000 0.000
Tl1 0.500 0.500 0.500

Values from the calculation:
The total energy is -7.69 eV per cell. The calculation puts the mass density at 11141 kg/m3. The calculation puts the magnetization at 0.01 μB per cell. Its space group is No. 221.

---

TbTl: optimized geometry, PBE.

a b c (Å): 4.425 4.425 4.425
angles (deg): 60.00 60.00 60.00
Site moments in Bohr magnetons follow the coordinates.
Element x y z (fractional)
Tb1 0.000 0.000 0.000  0.09
Tl1 0.500 0.500 0.500  0.04

Values from the calculation:
The total energy is -7.13 eV per cell. The calculation puts the mass density at 9848 kg/m3. The calculation puts the magnetization at 0.22 μB per cell. Its space group is No. 225.

---

Tb3Tl7: optimized geometry, PBE.

a b c (Å): 13.093 13.093 4.591
angles (deg): 90.00 90.00 160.09
Element x y z (fractional)
Tl1 0.704 0.296 0.500
Tl2 0.599 0.401 0.000
Tl3 0.899 0.101 0.500
Tb1 0.500 0.500 0.500
Tl4 0.296 0.704 0.500
Tl5 0.101 0.899 0.500
Tb2 0.805 0.195 0.000
Tb3 0.195 0.805 0.000
Tl6 0.000 0.000 0.000
Tl7 0.401 0.599 0.000

Values from the calculation:
The total energy is -32.20 eV per cell. The calculation puts the mass density at 11816 kg/m3. The calculation puts the magnetization at 0.02 μB per cell. Its space group is No. 65.

---

TbTl: optimized geometry, PBE.

a b c (Å): 4.880 4.880 4.880
angles (deg): 60.00 60.00 60.00
Element x y z (fractional)
Tb1 0.000 0.000 0.000
Tl1 0.250 0.250 0.250

Values from the calculation:
The total energy is -5.75 eV per cell. The calculation puts the mass density at 7343 kg/m3. The calculation puts the magnetization at 0.00 μB per cell. Its space group is No. 216.

---

Tb2Tl: optimized geometry, PBE.

a b c (Å): 6.323 6.323 6.323
angles (deg): 60.00 60.00 60.00
Element x y z (fractional)
Tl1 0.000 0.000 0.000
Tb1 0.625 0.125 0.625
Tl2 0.250 0.250 0.250
Tb2 0.625 0.625 0.125
Tb3 0.125 0.625 0.625
Tb4 0.625 0.625 0.625

Values from the calculation:
The total energy is -22.02 eV per cell. The calculation puts the mass density at 9704 kg/m3. The calculation puts the magnetization at 0.01 μB per cell. Its space group is No. 227.

---

TbTl: optimized geometry, PBE.

a b c (Å): 3.615 3.615 5.092
angles (deg): 90.00 90.00 120.00
Site moments in Bohr magnetons follow the coordinates.
Element x y z (fractional)
Tb1 0.667 0.333 0.750  0.05
Tl1 0.333 0.667 0.250  0.00

Values from the calculation:
The total energy is -7.39 eV per cell. The calculation puts the mass density at 10471 kg/m3. The calculation puts the magnetization at 0.09 μB per cell. Its space group is No. 187.

---

Tb2TmTl3: optimized geometry, PBE.

a b c (Å): 3.644 3.644 12.164
angles (deg): 90.00 90.00 90.00
Site moments in Bohr magnetons follow the coordinates.
Element x y z (fractional)
Tl1 0.500 0.500 0.000  0.00
Tm1 0.000 0.000 0.500  0.07
Tb1 0.000 0.000 0.832  -0.01
Tl2 0.500 0.500 0.663  0.00
Tl3 0.500 0.500 0.337  0.00
Tb2 0.000 0.000 0.168  -0.01

Values from the calculation:
The total energy is -22.79 eV per cell. The calculation puts the mass density at 11308 kg/m3. The calculation puts the magnetization at 0.08 μB per cell. Its space group is No. 123.

---

TbUTl: optimized geometry, PBE.

a b c (Å): 5.190 5.190 5.190
angles (deg): 60.00 60.00 60.00
Element x y z (fractional)
Tl1 0.000 0.000 0.000
U1 0.750 0.750 0.750
Tb1 0.250 0.250 0.250

Values from the calculation:
The calculation puts the excess energy over the best structure of this formula in the dataset at 0 meV/atom. The calculation puts the mass density at 10102 kg/m3. The calculation puts the magnetization at 3.99 μB per cell. Its space group is No. 216.

---

TbTlW: optimized geometry, PBE.

a b c (Å): 4.856 4.856 4.856
angles (deg): 60.00 60.00 60.00
Site moments in Bohr magnetons follow the coordinates.
Element x y z (fractional)
Tb1 0.250 0.250 0.250  0.29
W1 0.000 0.000 0.000  1.52
Tl1 0.750 0.750 0.750  -0.05

Values from the calculation:
The calculation puts the excess energy over the best structure of this formula in the dataset at 0 meV/atom. The calculation puts the mass density at 11218 kg/m3. The calculation puts the magnetization at 2.09 μB per cell. Its space group is No. 216.

---

TbYTl: optimized geometry, PBE.

a b c (Å): 5.176 5.176 5.176
angles (deg): 60.00 60.00 60.00
Element x y z (fractional)
Y1 0.750 0.750 0.750
Tb1 0.250 0.250 0.250
Tl1 0.000 0.000 0.000

Values from the calculation:
The calculation puts the excess energy over the best structure of this formula in the dataset at 0 meV/atom. The calculation puts the mass density at 7659 kg/m3. The calculation puts the magnetization at 0.14 μB per cell. Its space group is No. 216.

---

TbY2Tl3: optimized geometry, PBE.

a b c (Å): 3.671 3.671 12.099
angles (deg): 90.00 90.00 90.00
Element x y z (fractional)
Y1 0.000 0.000 0.834
Tl1 0.500 0.500 0.000
Tb1 0.000 0.000 0.500
Tl2 0.500 0.500 0.333
Tl3 0.500 0.500 0.667
Y2 0.000 0.000 0.166

Values from the calculation:
The total energy is -26.82 eV per cell. The calculation puts the mass density at 9675 kg/m3. The calculation puts the magnetization at 0.05 μB per cell. Its space group is No. 123.

---

Tb2TlZn: optimized geometry, PBE.

a b c (Å): 3.672 3.672 7.474
angles (deg): 90.00 90.00 90.00
Element x y z (fractional)
Tl1 0.500 0.500 0.500
Tb1 0.000 0.000 0.229
Zn1 0.500 0.500 0.000
Tb2 0.000 0.000 0.771

Values from the calculation:
The total energy is -14.32 eV per cell. The calculation puts the mass density at 9683 kg/m3. The calculation puts the magnetization at 0.02 μB per cell. Its space group is No. 123.

---

TbTlZn: optimized geometry, PBE.

a b c (Å): 4.725 4.725 4.725
angles (deg): 60.00 60.00 60.00
Element x y z (fractional)
Zn1 0.000 0.000 0.000
Tb1 0.250 0.250 0.250
Tl1 0.750 0.750 0.750

Values from the calculation:
The total energy is -9.09 eV per cell. The calculation puts the mass density at 9541 kg/m3. The calculation puts the magnetization at 0.00 μB per cell. Its space group is No. 216.

---

TbZrTl: optimized geometry, PBE.

a b c (Å): 4.999 4.999 4.999
angles (deg): 60.00 60.00 60.00
Element x y z (fractional)
Tb1 0.250 0.250 0.250
Tl1 0.000 0.000 0.000
Zr1 0.750 0.750 0.750

Values from the calculation:
The calculation puts the excess energy over the best structure of this formula in the dataset at 0 meV/atom. The calculation puts the mass density at 8546 kg/m3. The calculation puts the magnetization at 1.11 μB per cell. Its space group is No. 216.

---

TbZr2Tl3: optimized geometry, PBE.

a b c (Å): 4.308 4.308 8.188
angles (deg): 90.00 90.00 90.00
Element x y z (fractional)
Tl1 0.500 0.000 0.689
Tl2 0.500 0.500 0.000
Tl3 0.000 0.500 0.311
Tb1 0.000 0.000 0.000
Zr1 0.000 0.500 0.669
Zr2 0.500 0.000 0.331

Values from the calculation:
The total energy is -28.68 eV per cell. The calculation puts the mass density at 10428 kg/m3. The calculation puts the magnetization at 0.02 μB per cell. Its space group is No. 115.

---

Tb2Tm5: optimized geometry, PBE.

a b c (Å): 8.304 8.304 9.044
angles (deg): 95.76 95.76 43.70
Element x y z (fractional)
Tm1 0.978 0.310 0.965
Tm2 0.452 0.119 0.178
Tm3 0.881 0.548 0.322
Tm4 0.548 0.881 0.822
Tm5 0.022 0.690 0.035
Tm6 0.119 0.452 0.678
Tm7 0.690 0.022 0.535
Tm8 0.166 0.834 0.750
Tb1 0.404 0.739 0.107
Tm9 0.310 0.978 0.465
Tb2 0.261 0.596 0.393
Tb3 0.596 0.261 0.893
Tm10 0.834 0.166 0.250
Tb4 0.739 0.404 0.607

Values from the calculation:
The calculation puts the formation energy at 0.002 eV/atom. The calculation puts the mass density at 9013 kg/m3. The calculation puts the magnetization at 0.21 μB per cell. Its space group is No. 15.

---

TbTm: optimized geometry, PBE.

a b c (Å): 4.852 4.852 4.852
angles (deg): 60.00 60.00 60.00
Element x y z (fractional)
Tm1 0.250 0.250 0.250
Tb1 0.000 0.000 0.000

Values from the calculation:
The calculation puts the excess energy over the best structure of this formula in the dataset at 1953 meV/atom. The calculation puts the formation energy at 1.962 eV/atom. The calculation puts the mass density at 6741 kg/m3. The calculation puts the magnetization at 0.02 μB per cell. Its space group is No. 216.

---

TbTm: optimized geometry, PBE.

a b c (Å): 4.542 4.542 4.542
angles (deg): 60.00 60.00 60.00
Site moments in Bohr magnetons follow the coordinates.
Element x y z (fractional)
Tb1 0.000 0.000 0.000  0.36
Tm1 0.500 0.500 0.500  0.38

Values from the calculation:
The calculation puts the excess energy over the best structure of this formula in the dataset at 787 meV/atom. The calculation puts the formation energy at 0.797 eV/atom. The calculation puts the mass density at 8218 kg/m3. The calculation puts the magnetization at 0.86 μB per cell. Its space group is No. 225.

---

TbTm: optimized geometry, PBE.

a b c (Å): 3.582 3.582 5.570
angles (deg): 90.00 90.00 120.00
Element x y z (fractional)
Tb1 0.667 0.333 0.750
Tm1 0.333 0.667 0.250

Values from the calculation:
The calculation puts the excess energy over the best structure of this formula in the dataset at 0 meV/atom. The calculation puts the formation energy at 0.010 eV/atom. The calculation puts the mass density at 8798 kg/m3. The calculation puts the magnetization at 0.05 μB per cell. Its space group is No. 187.

---

TbYTm: optimized geometry, PBE.

a b c (Å): 5.398 5.398 5.398
angles (deg): 60.00 60.00 60.00
Element x y z (fractional)
Y1 0.750 0.750 0.750
Tb1 0.250 0.250 0.250
Tm1 0.000 0.000 0.000

Values from the calculation:
The calculation puts the excess energy over the best structure of this formula in the dataset at 0 meV/atom. The calculation puts the formation energy at 0.720 eV/atom. The calculation puts the mass density at 6224 kg/m3. The calculation puts the magnetization at 0.02 μB per cell. Its space group is No. 216.